Entry 1:
Nd7Sm16Er6: relaxed, GGA-PBE.

Cell lengths 11.312, 11.312, 11.312 Å; angles 60.00, 60.00, 60.00 degrees
Atoms (fractional coordinates):
1 Nd 0.000 0.000 0.000
2 Nd 0.500 0.000 0.500
3 Nd 0.000 0.500 0.000
4 Nd 0.000 0.500 0.500
5 Nd 0.500 0.000 0.000
6 Nd 0.000 0.000 0.500
7 Nd 0.500 0.500 0.000
8 Sm 0.874 0.874 0.377
9 Sm 0.874 0.874 0.874
10 Sm 0.874 0.377 0.874
11 Sm 0.377 0.874 0.874
12 Sm 0.126 0.126 0.126
13 Sm 0.126 0.126 0.623
14 Sm 0.126 0.623 0.126
15 Sm 0.623 0.126 0.126
16 Sm 0.651 0.651 0.048
17 Sm 0.651 0.651 0.651
18 Sm 0.651 0.048 0.651
19 Sm 0.048 0.651 0.651
20 Sm 0.349 0.349 0.349
21 Sm 0.349 0.349 0.952
22 Sm 0.349 0.952 0.349
23 Sm 0.952 0.349 0.349
24 Er 0.264 0.736 0.264
25 Er 0.736 0.264 0.736
26 Er 0.736 0.264 0.264
27 Er 0.264 0.736 0.736
28 Er 0.736 0.736 0.264
29 Er 0.264 0.264 0.736

Calculated density, g/cm³: 7.2
Formation energy, eV per atom: 0.2414


Entry 2:
Nd6SmEr2: relaxed, GGA-PBE.

Cell lengths 6.259, 10.169, 10.169 Å; angles 71.38, 84.98, 84.98 degrees
Atoms (fractional coordinates):
1 Nd 0.486 0.687 0.409
2 Nd 0.014 0.591 0.313
3 Nd 0.514 0.313 0.591
4 Nd 0.986 0.409 0.687
5 Nd 0.654 0.076 0.358
6 Nd 0.846 0.642 0.924
7 Nd 0.346 0.924 0.642
8 Nd 0.154 0.358 0.076
9 Nd 0.319 0.739 0.019
10 Nd 0.181 0.981 0.261
11 Nd 0.681 0.261 0.981
12 Nd 0.819 0.019 0.739
13 Sm 0.250 0.100 0.900
14 Sm 0.750 0.900 0.100
15 Er 0.415 0.566 0.766
16 Er 0.085 0.234 0.434
17 Er 0.585 0.434 0.234
18 Er 0.915 0.766 0.566

Calculated density, g/cm³: 7.4
Formation energy, eV per atom: 0.0824


Entry 3:
Nd3Sm4Er2: relaxed, GGA-PBE.

Cell lengths 3.624, 3.624, 26.907 Å; angles 90.00, 90.00, 120.00 degrees
Atoms (fractional coordinates):
1 Nd 0.000 0.000 0.983
2 Nd 0.000 0.000 0.320
3 Nd 0.667 0.333 0.655
4 Sm 0.000 0.000 0.543
5 Sm 0.667 0.333 0.435
6 Sm 0.667 0.333 0.213
7 Sm 0.000 0.000 0.768
8 Er 0.667 0.333 0.088
9 Er 0.667 0.333 0.873

Calculated density, g/cm³: 7.4
Formation energy, eV per atom: 0.0703


Entry 4:
NdSm2Er: relaxed, GGA-PBE.

Cell lengths 3.610, 3.610, 11.964 Å; angles 81.32, 81.32, 60.00 degrees
Atoms (fractional coordinates):
1 Nd 0.500 0.500 0.500
2 Sm 0.748 0.748 0.755
3 Sm 0.252 0.252 0.245
4 Er 0.000 0.000 0.000

Calculated density, g/cm³: 7.6
Formation energy, eV per atom: 0.0181


Entry 5:
NdSm4Er6: relaxed, GGA-PBE.

Cell lengths 9.677, 9.677, 9.677 Å; angles 57.94, 139.94, 139.94 degrees
Atoms (fractional coordinates):
1 Nd 0.000 0.000 0.000
2 Sm 0.000 0.636 0.014
3 Sm 0.378 0.364 0.364
4 Sm 0.000 0.014 0.636
5 Sm 0.622 0.986 0.986
6 Er 0.000 0.805 0.448
7 Er 0.000 0.448 0.805
8 Er 0.356 0.552 0.552
9 Er 0.500 0.500 0.000
10 Er 0.644 0.195 0.195
11 Er 0.500 0.000 0.500

Calculated density, g/cm³: 7.8
Formation energy, eV per atom: 0.3139


Entry 6:
Tb3Nd6SmEr2: relaxed, GGA-PBE.

Cell lengths 6.332, 6.332, 11.453 Å; angles 95.29, 95.29, 119.99 degrees
Atoms (fractional coordinates):
1 Tb 0.167 0.833 0.500
2 Tb 0.833 0.167 0.500
3 Tb 0.500 0.500 0.500
4 Nd 0.917 0.583 0.750
5 Nd 0.749 0.749 0.250
6 Nd 0.083 0.417 0.250
7 Nd 0.583 0.917 0.750
8 Nd 0.251 0.251 0.750
9 Nd 0.417 0.083 0.250
10 Sm 0.000 0.000 0.000
11 Er 0.333 0.667 0.000
12 Er 0.667 0.333 0.000

Calculated density, g/cm³: 7.8
Formation energy, eV per atom: 0.0238


Entry 7:
Tb6NdSm3Er2: relaxed, GGA-PBE.

Cell lengths 6.194, 6.194, 11.859 Å; angles 94.98, 94.98, 119.97 degrees
Atoms (fractional coordinates):
1 Tb 0.917 0.582 0.752
2 Tb 0.749 0.749 0.248
3 Tb 0.083 0.418 0.248
4 Tb 0.582 0.917 0.752
5 Tb 0.251 0.251 0.752
6 Tb 0.418 0.083 0.248
7 Nd 0.000 0.000 0.000
8 Sm 0.167 0.833 0.500
9 Sm 0.833 0.167 0.500
10 Sm 0.500 0.500 0.500
11 Er 0.333 0.667 0.000
12 Er 0.667 0.333 0.000

Calculated density, g/cm³: 8.1
Formation energy, eV per atom: 0.0150


Entry 8:
Tb6Nd2SmEr3: relaxed, GGA-PBE.

Cell lengths 6.188, 6.188, 11.835 Å; angles 94.98, 94.98, 119.97 degrees
Atoms (fractional coordinates):
1 Tb 0.915 0.582 0.746
2 Tb 0.752 0.752 0.254
3 Tb 0.085 0.418 0.254
4 Tb 0.582 0.915 0.746
5 Tb 0.248 0.248 0.746
6 Tb 0.418 0.085 0.254
7 Nd 0.333 0.667 0.000
8 Nd 0.667 0.333 0.000
9 Sm 0.000 0.000 0.000
10 Er 0.167 0.833 0.500
11 Er 0.833 0.167 0.500
12 Er 0.500 0.500 0.500

Calculated density, g/cm³: 8.1
Formation energy, eV per atom: 0.0176